DFT (PBE) results for a relaxed MnSb2Ir crystal.

Properties
- Energy above the lowest structure with this stoichiometry: 0.286 eV/atom
- Crystal system: trigonal
- Space-group type: No. 166
- E_form (uncorrected): 0.28 eV/atom
- Density of states at the Fermi level: 0.82 states/eV/atom

Lattice parameters (Å, degrees): 8.401 8.401 8.401 22.62 22.62 22.62
Fractional coordinates of all 4 atoms:
Mn 0.000 0.000 0.000
Sb 0.248 0.248 0.248
Sb 0.752 0.752 0.752
Ir 0.500 0.500 0.500